1.
This record from Alexandria via LeMat-Bulk describes a relaxed structure of PmY2Er9. The functional is GGA-PBE.

The space group is P4/mmm (No. 123) and the conventional cell measures 4.993, 4.993 and 14.978 Å, with angles of 90.00, 90.00 and 90.00 degrees. The asymmetric unit holds Pm at (0.000, 0.000, 0.000), Y at (0.000, 0.000, 0.334), Er at (0.000, 0.500, 0.167), Er at (0.000, 0.500, 0.500), Er at (0.500, 0.500, 0.000) and Er at (0.500, 0.500, 0.334).

As for the calculated formation energy: 0.03 eV/atom. Its energy above the most stable polymorph in this dataset is 0.000 eV/atom. Its size of the total moment is 0.000 μB/atom.

---

2.
This record from Alexandria via LeMat-Bulk describes a relaxed structure of Pm12Y5Er2. The functional is GGA-PBE.

The space group is C2/m (No. 12) and the conventional cell measures 17.867, 11.745 and 6.233 Å, with angles of 90.00, 102.34 and 90.00 degrees. The asymmetric unit holds Pm at (0.055, 0.000, 0.274), Pm at (0.104, 0.251, 0.618), Pm at (0.118, 0.500, 0.004), Pm at (0.196, 0.244, 0.198), Y at (0.000, 0.500, 0.500), Y at (0.177, 0.000, 0.861), Y at (0.217, 0.500, 0.557) and Er at (0.000, 0.267, 0.000).

As for the calculated formation energy: 0.10 eV/atom. Its energy above the most stable polymorph in this dataset is 0.000 eV/atom. Its size of the total moment is 0.000 μB/atom.

---

3.
This record from Alexandria via LeMat-Bulk describes a relaxed structure of Pm4Y15Er. The functional is GGA-PBE.

The space group is P4/mmm (No. 123) and the conventional cell measures 5.071, 5.071 and 25.306 Å, with angles of 90.00, 90.00 and 90.00 degrees. The asymmetric unit holds Pm at (0.000, 0.000, 0.100), Pm at (0.000, 0.000, 0.301), Y at (0.000, 0.500, 0.000), Y at (0.000, 0.500, 0.201), Y at (0.000, 0.500, 0.401), Y at (0.500, 0.500, 0.100), Y at (0.500, 0.500, 0.301), Y at (0.500, 0.500, 0.500) and Er at (0.000, 0.000, 0.500).

As for the calculated formation energy: 0.02 eV/atom. Its size of the total moment is 0.000 μB/atom.